# 1
DFT (PBE) results for crystalline Na4BrO2 at its relaxed geometry.

- M_tot (μB per atom) = 0.14
- formation energy (no corrections) (eV per atom) = -1.158

```
data_Na4BrO2
_chemical_formula_sum 'Na8 Br2 O4'
_cell_length_a 7.123
_cell_length_b 7.123
_cell_length_c 7.730
_cell_angle_alpha 120.38
_cell_angle_beta 120.38
_cell_angle_gamma 84.45
_space_group_name_H-M_alt 'P 1'
_space_group_IT_number 1
loop_
_space_group_symop_operation_xyz
'x,y,z'
loop_
_atom_site_label
_atom_site_type_symbol
_atom_site_fract_x
_atom_site_fract_y
_atom_site_fract_z
Na1 Na 0.631 0.394 0.827
Na2 Na 0.183 0.447 0.327
O1 O 0.375 0.125 0.750
Na3 Na 0.567 0.803 0.173
Na4 Na 0.553 0.817 0.673
Na5 Na 0.197 0.433 0.827
Na6 Na 0.119 0.856 0.673
Br1 Br 0.750 0.250 0.500
Na7 Na 0.606 0.369 0.173
Br2 Br 0.000 0.000 0.000
O2 O 0.375 0.625 0.250
Na8 Na 0.144 0.881 0.327
O3 O 0.375 0.625 0.750
O4 O 0.875 0.625 0.250
```

---

# 2
DFT (PBE) results for crystalline Na6Br4O at its relaxed geometry.

- M_tot (μB per atom) = 0.01
- formation energy (no corrections) (eV per atom) = -1.400

```
data_Na6Br4O
_chemical_formula_sum 'Na12 Br8 O2'
_cell_length_a 8.319
_cell_length_b 8.319
_cell_length_c 8.735
_cell_angle_alpha 90.00
_cell_angle_beta 90.00
_cell_angle_gamma 90.00
_space_group_name_H-M_alt 'P 1'
_space_group_IT_number 1
loop_
_space_group_symop_operation_xyz
'x,y,z'
loop_
_atom_site_label
_atom_site_type_symbol
_atom_site_fract_x
_atom_site_fract_y
_atom_site_fract_z
Br1 Br 0.678 0.822 0.250
Br2 Br 0.178 0.678 0.250
O1 O 0.000 0.000 0.500
Br3 Br 0.322 0.178 0.250
Na1 Na 0.738 0.077 0.500
Na2 Na 0.577 0.238 0.000
Br4 Br 0.322 0.178 0.750
Na3 Na 0.262 0.923 0.500
Na4 Na 0.423 0.762 0.000
Na5 Na 0.238 0.423 0.000
Na6 Na 0.500 0.500 0.747
O2 O 0.500 0.500 0.000
Br5 Br 0.178 0.678 0.750
Na7 Na 0.000 0.000 0.753
Na8 Na 0.500 0.500 0.253
Br6 Br 0.678 0.822 0.750
Na9 Na 0.077 0.262 0.500
Na10 Na 0.762 0.577 0.000
Br7 Br 0.822 0.322 0.250
Na11 Na 0.923 0.738 0.500
Br8 Br 0.822 0.322 0.750
Na12 Na 0.000 0.000 0.247
```

---

# 3
DFT (PBE) results for crystalline NaBrO2 at its relaxed geometry.

- M_tot (μB per atom) = 0.00
- formation energy (no corrections) (eV per atom) = -0.157

```
data_NaBrO2
_chemical_formula_sum 'Na2 Br2 O4'
_cell_length_a 4.716
_cell_length_b 4.716
_cell_length_c 6.954
_cell_angle_alpha 70.18
_cell_angle_beta 70.18
_cell_angle_gamma 90.00
_space_group_name_H-M_alt 'P 1'
_space_group_IT_number 1
loop_
_space_group_symop_operation_xyz
'x,y,z'
loop_
_atom_site_label
_atom_site_type_symbol
_atom_site_fract_x
_atom_site_fract_y
_atom_site_fract_z
Na1 Na 0.250 0.750 0.500
O1 O 0.693 0.125 0.250
Br1 Br 0.750 0.250 0.500
Br2 Br 0.000 0.000 0.000
O2 O 0.875 0.943 0.750
O3 O 0.375 0.307 0.750
O4 O 0.057 0.625 0.250
Na2 Na 0.500 0.500 0.000
```